InCo2F8 PBE with a Hubbard U relaxed; volume = 12.75 Å³/atom; final energy = -4.58 eV/atom
1.0
-2.363 -4.600 -0.779
2.486 -0.503 -4.573
3.811 0.161 5.044
F Co In
8 2 1
Cartesian
-0.126 -3.839 -0.882 F
4.046 -0.534 1.172 F
1.757 -3.049 2.377 F
2.602 -0.808 3.257 F
2.191 -2.463 -3.282 F
0.791 -4.591 -3.141 F
1.274 -1.710 -1.023 F
3.202 -2.774 0.292 F
0.755 -3.495 0.795 Co
3.180 -1.447 -1.102 Co
0.062 -2.551 -2.676 In